Record 1
# BeTlCu2 (PBE, relaxed)
data_BeTlCu2
_cell_length_a 6.853
_cell_length_b 3.966
_cell_length_c 5.136
_cell_angle_alpha 90.00
_cell_angle_beta 117.19
_cell_angle_gamma 90.00
_space_group_name_H-M_alt 'C 1 m 1'
_space_group_IT_number 8
loop_
_space_group_symop_operation_xyz
'x,y,z'
'x,-y,z'
'x+1/2,y+1/2,z'
'x+1/2,-y+1/2,z'
loop_
_atom_site_label
_atom_site_type_symbol
_atom_site_fract_x
_atom_site_fract_y
_atom_site_fract_z
Be1 Be 0.000 0.000 0.000
Tl1 Tl 0.183 0.000 0.552
Cu1 Cu 0.140 0.500 0.920
Cu2 Cu 0.389 0.000 0.160
# E above lowest polymorph: 0.028 eV/atom
# Formation energy: 276 meV/atom


Record 2
# Cr2NiIr (PBE, relaxed)
data_Cr2NiIr
_cell_length_a 3.613
_cell_length_b 3.613
_cell_length_c 7.466
_cell_angle_alpha 90.00
_cell_angle_beta 90.00
_cell_angle_gamma 90.00
_space_group_name_H-M_alt 'I 4/m m m'
_space_group_IT_number 139
_space_group_name_Hall '-I 4 2'
loop_
_atom_site_label
_atom_site_type_symbol
_atom_site_fract_x
_atom_site_fract_y
_atom_site_fract_z
Cr1 Cr 0.000 0.500 0.250
Ni1 Ni 0.000 0.000 0.000
Ir1 Ir 0.000 0.000 0.500
# Formation energy: -81 meV/atom


Record 3
# K2Au2I7 (PBE, relaxed)
data_K2Au2I7
_cell_length_a 10.931
_cell_length_b 16.714
_cell_length_c 5.804
_cell_angle_alpha 90.00
_cell_angle_beta 104.68
_cell_angle_gamma 90.00
_space_group_name_H-M_alt 'C 1 2/m 1'
_space_group_IT_number 12
loop_
_space_group_symop_operation_xyz
'x,y,z'
'-x,-y,-z'
'-x,y,-z'
'x,-y,z'
'x+1/2,y+1/2,z'
'-x+1/2,-y+1/2,-z'
'-x+1/2,y+1/2,-z'
'x+1/2,-y+1/2,z'
loop_
_atom_site_label
_atom_site_type_symbol
_atom_site_fract_x
_atom_site_fract_y
_atom_site_fract_z
K1 K 0.000 0.203 0.000
Au1 Au 0.219 0.500 0.301
I1 I 0.000 0.500 0.500
I2 I 0.097 0.000 0.219
I3 I 0.243 0.343 0.268
# E above lowest polymorph: 0.000 eV/atom


Record 4
# NbH3S (PBE, relaxed)
data_NbH3S
_cell_length_a 3.451
_cell_length_b 3.451
_cell_length_c 3.451
_cell_angle_alpha 90.00
_cell_angle_beta 90.00
_cell_angle_gamma 90.00
_space_group_name_H-M_alt 'P m -3 m'
_space_group_IT_number 221
_space_group_name_Hall '-P 4 2 3'
loop_
_atom_site_label
_atom_site_type_symbol
_atom_site_fract_x
_atom_site_fract_y
_atom_site_fract_z
Nb1 Nb 0.000 0.000 0.000
H1 H 0.000 0.500 0.500
S1 S 0.500 0.500 0.500
# E above lowest polymorph: 0.553 eV/atom


Record 5
# TiGeSb3 (PBE, relaxed)
data_TiGeSb3
_cell_length_a 5.247
_cell_length_b 5.247
_cell_length_c 5.247
_cell_angle_alpha 90.00
_cell_angle_beta 90.00
_cell_angle_gamma 90.00
_space_group_name_H-M_alt 'P m -3 m'
_space_group_IT_number 221
_space_group_name_Hall '-P 4 2 3'
loop_
_atom_site_label
_atom_site_type_symbol
_atom_site_fract_x
_atom_site_fract_y
_atom_site_fract_z
Ti1 Ti 0.000 0.000 0.000
Ge1 Ge 0.500 0.500 0.500
Sb1 Sb 0.000 0.500 0.500
# E above lowest polymorph: 0.527 eV/atom


Record 6
# Pm3Sm4Er3 (PBE, relaxed)
data_Pm3Sm4Er3
_cell_length_a 3.787
_cell_length_b 13.319
_cell_length_c 13.275
_cell_angle_alpha 90.00
_cell_angle_beta 90.00
_cell_angle_gamma 90.00
_space_group_name_H-M_alt 'A m m 2'
_space_group_IT_number 38
loop_
_space_group_symop_operation_xyz
'x,y,z'
'-x,-y,z'
'-x,y,z'
'x,-y,z'
'x,y+1/2,z+1/2'
'-x,-y+1/2,z+1/2'
'-x,y+1/2,z+1/2'
'x,-y+1/2,z+1/2'
loop_
_atom_site_label
_atom_site_type_symbol
_atom_site_fract_x
_atom_site_fract_y
_atom_site_fract_z
Pm1 Pm 0.000 0.000 0.000
Pm2 Pm 0.500 0.246 0.419
Sm1 Sm 0.500 0.000 0.542
Sm2 Sm 0.500 0.000 0.797
Sm3 Sm 0.500 0.129 0.172
Er1 Er 0.000 0.000 0.340
Er2 Er 0.000 0.170 0.669
# Formation energy: 90 meV/atom


Record 7
# Zr5ZnRh6 (PBE, relaxed)
data_Zr5ZnRh6
_cell_length_a 4.675
_cell_length_b 6.321
_cell_length_c 14.083
_cell_angle_alpha 90.00
_cell_angle_beta 90.00
_cell_angle_gamma 90.00
_space_group_name_H-M_alt 'I m m m'
_space_group_IT_number 71
_space_group_name_Hall '-I 2 2'
loop_
_atom_site_label
_atom_site_type_symbol
_atom_site_fract_x
_atom_site_fract_y
_atom_site_fract_z
Zr1 Zr 0.000 0.000 0.000
Zr2 Zr 0.000 0.000 0.342
Zr3 Zr 0.000 0.500 0.331
Zn1 Zn 0.000 0.500 0.000
Rh1 Rh 0.000 0.248 0.166
Rh2 Rh 0.000 0.256 0.500
# Formation energy: -737 meV/atom


Record 8
# CeHo6Tm4 (PBE, relaxed)
data_CeHo6Tm4
_cell_length_a 5.596
_cell_length_b 9.592
_cell_length_c 25.496
_cell_angle_alpha 90.00
_cell_angle_beta 90.00
_cell_angle_gamma 90.00
_space_group_name_H-M_alt 'C m c m'
_space_group_IT_number 63
_space_group_name_Hall '-C 2c 2'
loop_
_atom_site_label
_atom_site_type_symbol
_atom_site_fract_x
_atom_site_fract_y
_atom_site_fract_z
Ce1 Ce 0.000 0.176 0.250
Ho1 Ho 0.000 0.157 0.681
Ho2 Ho 0.000 0.175 0.101
Ho3 Ho 0.000 0.491 0.750
Ho4 Ho 0.000 0.500 0.000
Tm1 Tm 0.000 0.164 0.541
Tm2 Tm 0.000 0.490 0.622
# Formation energy: 146 meV/atom


Record 9
# Tl3In (PBE, relaxed)
data_Tl3In
_cell_length_a 5.623
_cell_length_b 5.623
_cell_length_c 3.781
_cell_angle_alpha 90.00
_cell_angle_beta 90.00
_cell_angle_gamma 90.00
_space_group_name_H-M_alt 'P 4/m m m'
_space_group_IT_number 123
_space_group_name_Hall '-P 4 2'
loop_
_atom_site_label
_atom_site_type_symbol
_atom_site_fract_x
_atom_site_fract_y
_atom_site_fract_z
Tl1 Tl 0.000 0.000 0.000
Tl2 Tl 0.000 0.500 0.500
In1 In 0.500 0.500 0.000
# Formation energy: 13 meV/atom


Record 10
# Ti2GaPdPt5 (PBE, relaxed)
data_Ti2GaPdPt5
_cell_length_a 7.516
_cell_length_b 7.516
_cell_length_c 10.736
_cell_angle_alpha 90.00
_cell_angle_beta 90.00
_cell_angle_gamma 90.00
_space_group_name_H-M_alt 'I 4/m c m'
_space_group_IT_number 140
_space_group_name_Hall '-I 4 2c'
loop_
_atom_site_label
_atom_site_type_symbol
_atom_site_fract_x
_atom_site_fract_y
_atom_site_fract_z
Ti1 Ti 0.111 0.389 0.000
Ga1 Ga 0.000 0.000 0.250
Pd1 Pd 0.000 0.500 0.250
Pt1 Pt 0.000 0.000 0.000
Pt2 Pt 0.209 0.291 0.369
# Formation energy: -250 meV/atom


Record 11
# EuThS2 (PBE, relaxed)
data_EuThS2
_cell_length_a 4.0404
_cell_length_b 4.0404
_cell_length_c 20.3086
_cell_angle_alpha 90.00
_cell_angle_beta 90.00
_cell_angle_gamma 120.00
_space_group_name_H-M_alt 'R -3 m'
_space_group_IT_number 166
_space_group_name_Hall '-R 3 2"'
loop_
_atom_site_label
_atom_site_type_symbol
_atom_site_fract_x
_atom_site_fract_y
_atom_site_fract_z
Eu1 Eu 0.0000 0.0000 0.0000
Th1 Th 0.0000 0.0000 0.5000
S1 S 0.0000 0.0000 0.2497
# Total DFT energy (no corrections): -8.437 eV/atom


Record 12
# TbCuO3 (PBE, relaxed)
data_TbCuO3
_cell_length_a 3.414
_cell_length_b 5.910
_cell_length_c 6.987
_cell_angle_alpha 90.00
_cell_angle_beta 103.54
_cell_angle_gamma 90.00
_space_group_name_H-M_alt 'P 1 21/m 1'
_space_group_IT_number 11
loop_
_space_group_symop_operation_xyz
'x,y,z'
'-x,-y,-z'
'-x,y+1/2,-z'
'x,-y+1/2,z'
loop_
_atom_site_label
_atom_site_type_symbol
_atom_site_fract_x
_atom_site_fract_y
_atom_site_fract_z
Tb1 Tb 0.175 0.250 0.342
Cu1 Cu 0.417 0.250 0.834
O1 O 0.315 0.033 0.641
O2 O 0.444 0.750 0.909
# Total DFT energy (no corrections): -6.463 eV/atom